DFT (PBE) results for a relaxed structure of Re2Mo3W3.

energy of formation = 0.041 eV/atom

Lattice parameters (Å, degrees): 4.4609 4.4629 7.0799 108.33 108.36 90.00
With the nearest neighbours (Å) after each atom.
Positions (direct):
1 Re 0.7494 0.7496 0.4989  4 W 2.73-2.74, 4 Mo 2.74-2.75
2 Re 0.2506 0.2504 0.5011  4 W 2.73-2.74, 4 Mo 2.74-2.75
3 W 0.1255 0.6254 0.2510  4 Re 2.73-2.74, 2 W 2.74, 2 Mo 2.74
4 W 0.0000 0.0000 0.0000  4 Mo 2.73, 4 W 2.74
5 W 0.8745 0.3746 0.7490  4 Re 2.73-2.74, 2 W 2.74, 2 Mo 2.74
6 Mo 0.5000 0.5000 0.0000  4 Mo 2.73, 4 W 2.74
7 Mo 0.3763 0.8762 0.7525  2 Mo 2.73, 2 W 2.73, 4 Re 2.74-2.75
8 Mo 0.6237 0.1238 0.2475  2 Mo 2.73, 2 W 2.73, 4 Re 2.74-2.75

=====

DFT (PBE) results for a relaxed structure of NbAs2OsBr.

E_form (uncorrected) = 1.329 eV/atom

Lattice parameters (Å, degrees): 5.0208 5.0208 5.0193 90.00 90.00 90.00
With the nearest neighbours (Å) after each atom.
Positions (direct):
1 As 0.0000 0.5000 0.0000  2 Nb 2.51
2 As 0.5000 0.0000 0.0000  2 Nb 2.51
3 Nb 0.0000 0.0000 0.0000  2 Br 2.51, 4 As 2.51
4 Br 0.0000 0.0000 0.5000  2 Nb 2.51
5 Os 0.5000 0.5000 0.5000  8 As 3.55, 4 Br 3.55

=====

DFT (PBE) results for a relaxed structure of KCr3Sb.

E_form (uncorrected) = 1.006 eV/atom

Lattice parameters (Å, degrees): 5.3870 5.3870 5.3870 90.00 90.00 90.00
With the nearest neighbours (Å) after each atom.
Positions (direct):
1 Cr 0.5000 0.0000 0.0000  2 Sb 2.69
2 Cr 0.0000 0.0000 0.5000  2 Sb 2.69
3 Cr 0.0000 0.5000 0.0000  2 Sb 2.69
4 Sb 0.0000 0.0000 0.0000  6 Cr 2.69
5 K 0.5000 0.5000 0.5000  12 Cr 3.81

=====

DFT (PBE) results for a relaxed structure of Pm2NdAs.

energy of formation = -0.620 eV/atom

Lattice parameters (Å, degrees): 3.9913 3.9913 9.8104 78.26 78.26 60.00
With the nearest neighbours (Å) after each atom.
Positions (direct):
1 Nd 0.5002 0.5002 0.4995  6 Pm 3.78-3.79, 6 Nd 3.99
2 Pm 0.2717 0.2717 0.1849  3 As 2.90
3 Pm 0.0617 0.0617 0.8149  3 As 2.91
4 As 0.6664 0.6664 0.0007  6 Pm 2.90-2.91

=====

DFT (PBE) results for a relaxed structure of CuNi2Sn.

energy of formation = -0.148 eV/atom

Lattice parameters (Å, degrees): 4.3433 4.4673 5.5183 90.00 90.00 90.00
With the nearest neighbours (Å) after each atom.
Positions (direct):
1 Ni 0.0000 0.8077 0.7500  4 Cu 2.56-2.69, 4 Sn 2.61-2.64, 4 Ni 2.76-2.77
2 Ni 0.5000 0.1923 0.7500  4 Cu 2.56-2.69, 4 Sn 2.61-2.64, 4 Ni 2.76-2.77
3 Ni 0.0000 0.8077 0.2500  4 Cu 2.56-2.69, 4 Sn 2.61-2.64, 4 Ni 2.76-2.77
4 Ni 0.5000 0.1923 0.2500  4 Cu 2.56-2.69, 4 Sn 2.61-2.64, 4 Ni 2.76-2.77
5 Cu 0.5000 0.7101 0.0000  8 Ni 2.56-2.69, 4 Sn 2.76-2.83
6 Cu 0.0000 0.2899 0.5000  8 Ni 2.56-2.69, 4 Sn 2.76-2.83
7 Sn 0.0000 0.3034 0.0000  8 Ni 2.61-2.64, 4 Cu 2.76-2.83
8 Sn 0.5000 0.6966 0.5000  8 Ni 2.61-2.64, 4 Cu 2.76-2.83

=====

DFT (PBE) results for a relaxed structure of YTmHgPt.

energy of formation = -0.836 eV/atom

Lattice parameters (Å, degrees): 5.0655 5.0655 5.0655 60.00 60.00 60.00
With the nearest neighbours (Å) after each atom.
Positions (direct):
1 Hg 0.2500 0.2500 0.2500  4 Y 3.10, 4 Tm 3.10
2 Pt 0.7500 0.7500 0.7500  4 Y 3.10, 4 Tm 3.10
3 Y 0.5000 0.5000 0.5000  4 Pt 3.10, 4 Hg 3.10
4 Tm 0.0000 0.0000 0.0000  4 Pt 3.10, 4 Hg 3.10

=====

DFT (PBE) results for a relaxed structure of InSe2SF.

E_form (uncorrected) = 0.465 eV/atom

Lattice parameters (Å, degrees): 5.4831 4.9572 5.4831 90.00 90.00 90.00
With the nearest neighbours (Å) after each atom.
Positions (direct):
1 Se 0.5000 0.0000 0.0000  2 In 2.74
2 Se 0.0000 0.0000 0.5000  2 In 2.74
3 In 0.0000 0.0000 0.0000  2 S 2.48, 4 Se 2.74
4 S 0.0000 0.5000 0.0000  2 In 2.48
5 F 0.5000 0.5000 0.5000  8 Se 3.70, 4 S 3.88

=====

DFT (PBE) results for a relaxed structure of UCo3B2.

energy of formation = -0.435 eV/atom

Lattice parameters (Å, degrees): 4.9946 4.9946 2.9826 90.00 90.00 120.00
With the nearest neighbours (Å) after each atom.
Positions (direct):
1 B 0.3333 0.6667 0.0000  6 Co 2.07
2 B 0.6667 0.3333 0.0000  6 Co 2.07
3 U 0.0000 0.0000 0.0000  6 B 2.88, 12 Co 2.91, 2 U 2.98
4 Co 0.5000 0.5000 0.5000  4 B 2.07
5 Co 0.0000 0.5000 0.5000  4 B 2.07
6 Co 0.5000 0.0000 0.5000  4 B 2.07

=====

DFT (PBE) results for a relaxed structure of AlB3Au.

energy of formation = 1.751 eV/atom

Lattice parameters (Å, degrees): 4.2116 4.2116 4.2116 90.00 90.00 90.00
With the nearest neighbours (Å) after each atom.
Positions (direct):
1 B 0.0000 0.5000 0.0000  2 Au 2.11
2 B 0.0000 0.0000 0.5000  2 Au 2.11
3 B 0.5000 0.0000 0.0000  2 Au 2.11
4 Al 0.5000 0.5000 0.5000  12 B 2.98
5 Au 0.0000 0.0000 0.0000  6 B 2.11

=====

DFT (PBE) results for a relaxed structure of K2BaY.

energy of formation = 0.427 eV/atom

Lattice parameters (Å, degrees): 3.8247 7.0873 7.8053 90.00 90.00 90.00
With the nearest neighbours (Å) after each atom.
Positions (direct):
1 K 0.0000 0.0000 0.0146  3 K 3.68-3.82
2 K 0.0000 0.0000 0.4854  3 K 3.68-3.82
3 Y 0.5000 0.5000 0.2500  2 Y 3.82, 2 Ba 3.90
4 Ba 0.5000 0.5000 0.7500  2 Ba 3.82, 2 Y 3.90

=====

DFT (PBE) results for a relaxed structure of NaRe.

energy of formation = 0.928 eV/atom

Lattice parameters (Å, degrees): 10.0977 10.0977 2.5402 90.00 90.00 120.00
With the nearest neighbours (Å) after each atom.
Positions (direct):
1 Na 0.7702 0.0624 0.2500  2 Na 2.54, 1 Re 2.84
2 Na 0.2298 0.9376 0.7500  2 Na 2.54, 1 Re 2.84
3 Na 0.9376 0.7077 0.2500  2 Na 2.54, 1 Re 2.84
4 Na 0.2923 0.2298 0.2500  2 Na 2.54, 1 Re 2.84
5 Na 0.0624 0.2923 0.7500  2 Na 2.54, 1 Re 2.84
6 Na 0.7077 0.7702 0.7500  2 Na 2.54, 1 Re 2.84
7 Re 0.3904 0.5523 0.7500  4 Re 2.54-2.65, 1 Na 2.84
8 Re 0.4477 0.8382 0.7500  4 Re 2.54-2.65, 1 Na 2.84
9 Re 0.5523 0.1618 0.2500  4 Re 2.54-2.65, 1 Na 2.84
10 Re 0.8382 0.3904 0.2500  4 Re 2.54-2.65, 1 Na 2.84
11 Re 0.6096 0.4477 0.2500  4 Re 2.54-2.65, 1 Na 2.84
12 Re 0.1618 0.6096 0.7500  4 Re 2.54-2.65, 1 Na 2.84

=====

DFT (PBE) results for a relaxed structure of LaNd5DyY2.

energy of formation = 0.143 eV/atom

Lattice parameters (Å, degrees): 5.7613 10.5902 10.7044 90.00 90.00 105.78
With the nearest neighbours (Å) after each atom.
Positions (direct):
1 Nd 0.0180 0.0359 0.0237  2 La 3.27, 2 Y 3.49
2 Nd 0.7040 0.4079 0.2051  4 Nd 3.48-3.88, 3 Dy 3.56-3.80, 3 Y 3.61-3.73, 1 La 3.64
3 Nd 0.5199 0.0398 0.2415  2 La 3.11-3.36
4 Nd 0.6130 0.2260 0.5238  6 Nd 3.57-3.93, 4 Y 3.61-3.64, 1 Dy 3.80
5 Nd 0.2810 0.5621 0.3135  1 La 3.12, 1 Y 3.36, 2 Nd 3.48
6 Nd 0.7190 0.4379 0.8135  1 La 3.12, 1 Y 3.36, 2 Nd 3.48
7 Nd 0.9820 0.9641 0.5237  2 La 3.27, 2 Y 3.49
8 Nd 0.2960 0.5921 0.7051  4 Nd 3.48-3.88, 3 Dy 3.56-3.80, 3 Y 3.61-3.73, 1 La 3.64
9 Nd 0.3870 0.7740 0.0238  6 Nd 3.57-3.93, 4 Y 3.61-3.64, 1 Dy 3.80
10 Nd 0.4801 0.9602 0.7415  2 La 3.11-3.36
11 La 0.4154 0.8308 0.4526  5 Nd 3.11-3.36
12 La 0.5846 0.1692 0.9526  5 Nd 3.11-3.36
13 Dy 0.7993 0.5986 0.5104  2 Y 3.47-3.74, 8 Nd 3.56-3.80, 2 La 3.78
14 Dy 0.2007 0.4014 0.0104  2 Y 3.47-3.74, 8 Nd 3.56-3.80, 2 La 3.78
15 Y 0.1161 0.2321 0.3209  9 Nd 3.36-3.76, 1 Dy 3.74
16 Y 0.8866 0.7732 0.2324  1 Dy 3.47, 7 Nd 3.49-3.73, 2 La 3.77
17 Y 0.8839 0.7679 0.8209  9 Nd 3.36-3.76, 1 Dy 3.74
18 Y 0.1134 0.2268 0.7324  1 Dy 3.47, 7 Nd 3.49-3.73, 2 La 3.77